Material: Dy5Er7
Method: DFT, GGA-PBE
State: relaxed

abc: 5.5381 5.5381 14.5121
angles: 101.07 101.07 60.34
Fractional coordinates of all 12 atoms:
Dy: 0.0000 0.0000 0.0000
Dy: 0.1450 0.1450 0.4387
Dy: 0.3942 0.3942 0.1949
Dy: 0.6058 0.6058 0.8051
Dy: 0.8550 0.8550 0.5613
Er: 0.0660 0.0660 0.2132
Er: 0.2278 0.2278 0.6729
Er: 0.3089 0.3089 0.9215
Er: 0.5000 0.5000 0.5000
Er: 0.6911 0.6911 0.0785
Er: 0.7722 0.7722 0.3271
Er: 0.9340 0.9340 0.7868

## Properties
DFT formation energy	199	meV/atom
SG	No. 12